(1)
{"formula": "H4PtPb2", "functional": "PBE", "state": "relaxed", "lattice_angstrom": [[-1.7850, 1.7850, 7.6660], [1.7850, -1.7850, 7.6660], [1.7850, 1.7850, -7.6660]], "species": ["H", "H", "H", "H", "Pt", "Pb", "Pb"], "fractional_positions": [[0.0000, 0.5000, 0.5000], [0.1097, 0.1097, 0.0000], [0.5000, 0.0000, 0.5000], [0.8903, 0.8903, 0.0000], [0.0000, 0.0000, 0.0000], [0.3318, 0.3318, 0.0000], [0.6682, 0.6682, 0.0000]], "crystal_system": "tetragonal"}

(2)
{"formula": "PuH6Pt2Pb", "functional": "PBE", "state": "relaxed", "lattice_angstrom": [[4.1218, -4.7393, 0.0000], [4.1218, 4.7393, 0.0000], [-2.6773, 0.0000, 5.9310]], "species": ["Pu", "Pu", "H", "H", "H", "H", "H", "H", "H", "H", "H", "H", "H", "H", "Pt", "Pt", "Pt", "Pt", "Pb", "Pb"], "fractional_positions": [[0.1496, 0.8504, 0.7500], [0.8504, 0.1496, 0.2500], [0.0902, 0.1792, 0.6120], [0.0983, 0.5110, 0.3891], [0.1066, 0.2240, 0.9764], [0.1792, 0.0902, 0.1120], [0.2240, 0.1066, 0.4764], [0.4890, 0.9017, 0.1109], [0.5110, 0.0983, 0.8891], [0.7760, 0.8934, 0.5236], [0.8208, 0.9098, 0.8880], [0.8934, 0.7760, 0.0236], [0.9017, 0.4890, 0.6109], [0.9098, 0.8208, 0.3880], [0.0211, 0.3657, 0.8034], [0.3657, 0.0211, 0.3034], [0.6343, 0.9789, 0.6966], [0.9789, 0.6343, 0.1966], [0.4473, 0.5527, 0.2500], [0.5527, 0.4473, 0.7500]], "crystal_system": "monoclinic"}

(3)
{"formula": "H8PtRh4Pb", "functional": "PBE", "state": "relaxed", "lattice_angstrom": [[2.8745, 1.6596, 4.6337], [-2.8745, 1.6596, 4.6337], [0.0000, -3.3192, 4.6337]], "species": ["H", "H", "H", "H", "H", "H", "H", "H", "Pt", "Rh", "Rh", "Rh", "Rh", "Pb"], "fractional_positions": [[0.0000, 0.0000, 0.0000], [0.1014, 0.4616, 0.4616], [0.4581, 0.4581, 0.4581], [0.4616, 0.1014, 0.4616], [0.4616, 0.4616, 0.1014], [0.4893, 0.9845, 0.9845], [0.9845, 0.4893, 0.9845], [0.9845, 0.9845, 0.4893], [0.2401, 0.2401, 0.2401], [0.2412, 0.2412, 0.7515], [0.2412, 0.7515, 0.2412], [0.7515, 0.2412, 0.2412], [0.8694, 0.8694, 0.8694], [0.6203, 0.6203, 0.6203]], "crystal_system": "trigonal"}

(4)
{"formula": "H8Pt2RhPb", "functional": "PBE", "state": "relaxed", "lattice_angstrom": [[2.2671, 1.3089, 6.5763], [-2.2671, 1.3089, 6.5763], [0.0000, -2.6179, 6.5763]], "species": ["H", "H", "H", "H", "H", "H", "H", "H", "Pt", "Pt", "Rh", "Pb"], "fractional_positions": [[0.1007, 0.3308, 0.7374], [0.1905, 0.1905, 0.1905], [0.2626, 0.8993, 0.6692], [0.3308, 0.7374, 0.1007], [0.6692, 0.2626, 0.8993], [0.7374, 0.1007, 0.3308], [0.8095, 0.8095, 0.8095], [0.8993, 0.6692, 0.2626], [0.2717, 0.2717, 0.2717], [0.7283, 0.7283, 0.7283], [0.0000, 0.0000, 0.0000], [0.5000, 0.5000, 0.5000]], "crystal_system": "trigonal"}

(5)
{"formula": "H8PtRh2Pb", "functional": "PBE", "state": "relaxed", "lattice_angstrom": [[2.3889, 1.3792, 5.8906], [-2.3889, 1.3792, 5.8906], [0.0000, -2.7585, 5.8906]], "species": ["H", "H", "H", "H", "H", "H", "H", "H", "Pt", "Rh", "Rh", "Pb"], "fractional_positions": [[0.0631, 0.3567, 0.7589], [0.1966, 0.1966, 0.1966], [0.2411, 0.9369, 0.6433], [0.3567, 0.7589, 0.0631], [0.6433, 0.2411, 0.9369], [0.7589, 0.0631, 0.3567], [0.8034, 0.8034, 0.8034], [0.9369, 0.6433, 0.2411], [0.0000, 0.0000, 0.0000], [0.2866, 0.2866, 0.2866], [0.7134, 0.7134, 0.7134], [0.5000, 0.5000, 0.5000]], "crystal_system": "trigonal"}

(6)
{"formula": "H6PtRhPb2", "functional": "PBE", "state": "relaxed", "lattice_angstrom": [[3.3455, -3.4134, 0.0000], [3.3455, 3.4134, 0.0000], [-1.9327, 0.0000, 5.4747]], "species": ["H", "H", "H", "H", "H", "H", "Pt", "Rh", "Pb", "Pb"], "fractional_positions": [[0.0000, 0.0000, 0.0000], [0.1840, 0.1840, 0.7988], [0.1836, 0.6922, 0.7882], [0.4997, 0.4997, 0.0344], [0.6922, 0.1836, 0.7882], [0.6967, 0.6967, 0.8085], [0.4216, 0.4216, 0.7330], [0.9105, 0.9105, 0.7036], [0.3130, 0.8157, 0.3551], [0.8157, 0.3130, 0.3551]], "crystal_system": "monoclinic"}

(7)
{"formula": "HPtRhPb", "functional": "PBE", "state": "relaxed", "lattice_angstrom": [[5.1041, -1.5312, 0.0000], [5.1041, 1.5312, 0.0000], [-1.3280, 0.0000, 3.7259]], "species": ["H", "Pt", "Rh", "Pb"], "fractional_positions": [[0.0000, 0.0000, 0.0000], [0.0798, 0.0798, 0.6490], [0.4040, 0.4040, 0.9996], [0.7534, 0.7534, 0.3448]], "crystal_system": "monoclinic"}

(8)
{"formula": "HPtRh2Pb", "functional": "PBE", "state": "relaxed", "lattice_angstrom": [[4.1465, 0.0000, 0.0000], [0.0000, 4.1465, 0.0000], [0.0000, 0.0000, 4.0127]], "species": ["H", "Pt", "Rh", "Rh", "Pb"], "fractional_positions": [[0.0000, 0.0000, 0.0000], [0.0000, 0.0000, 0.5000], [0.0000, 0.5000, 0.0000], [0.5000, 0.0000, 0.0000], [0.5000, 0.5000, 0.5000]], "crystal_system": "tetragonal"}

(9)
{"formula": "HPt2RhPb", "functional": "PBE", "state": "relaxed", "lattice_angstrom": [[4.0857, 0.0000, 0.0000], [0.0000, 4.0857, 0.0000], [0.0000, 0.0000, 4.2636]], "species": ["H", "Pt", "Pt", "Rh", "Pb"], "fractional_positions": [[0.0000, 0.0000, 0.0000], [0.0000, 0.5000, 0.0000], [0.5000, 0.0000, 0.0000], [0.0000, 0.0000, 0.5000], [0.5000, 0.5000, 0.5000]], "crystal_system": "tetragonal"}

What did we get for energy? Answer: -3.739; -5.204; -4.615; -4.072; -4.202; -4.067; -5.018; -5.633; -5.342 eV per atom, in the order shown.
What did we get for M_tot? Answer: 0.00; 10.57; 0.00; 0.00; 0.00; 0.00; 0.00; 0.00; 0.00 Bohr magnetons per cell, in the order shown.